A geometry-optimized Ba4S2ClO structure, computed with PBE-GGA.

Computed properties:
uncorrected formation energy	-2048.5	meV/atom

Cell: 8.795 8.795 8.795 Å, 120.06 119.76 90.16°
Fractional coordinates of all 16 atoms:
Ba: 0.264 0.246 0.018
Ba: 0.265 0.257 0.492
Ba: 0.265 0.773 0.008
Ba: 0.272 0.754 0.518
Ba: 0.728 0.246 0.482
Ba: 0.735 0.227 0.992
Ba: 0.735 0.743 0.508
Ba: 0.736 0.754 0.982
S: 0.000 0.000 0.000
S: 0.000 0.000 0.500
S: 0.000 0.500 0.000
S: 0.500 0.000 0.500
Cl: 0.000 0.500 0.500
Cl: 0.500 0.500 0.000
O: 0.500 0.000 0.000
O: 0.500 0.500 0.500

***

A geometry-optimized LaTl2Ni structure, computed with PBE-GGA.

Computed properties:
formation energy from the elements	-0.05	eV per atom

Cell: 5.167 5.167 5.167 Å, 119.67 119.67 90.57°
Fractional coordinates of all 4 atoms:
La: 0.000 0.000 0.000
Tl: 0.250 0.750 0.500
Tl: 0.500 0.500 0.000
Ni: 0.750 0.250 0.500